<w>
Material: ReMo2Br
Method: DFT, PBE-GGA
State: optimized geometry

Its space group is Cmmm, No. 65. The calculation puts the density of states at the Fermi level at 3.14 states/eV/f.u. The total magnetic moment comes out at 0.0 μB/f.u.

a b c (Å): 2.868 2.868 8.995
angles (deg): 90.00 90.00 113.53
Element x y z (fractional)
Re 0.000 0.000 0.000
Mo 0.500 0.500 0.234
Mo 0.500 0.500 0.766
Br 0.000 0.000 0.500


<x>
Material: ReMo2Br
Method: DFT, PBE-GGA
State: optimized geometry

Its space group is C2/m, No. 12. The calculation puts the density of states at the Fermi level at 3.93 states/eV/f.u. The total magnetic moment comes out at 0.0 μB/f.u.

a b c (Å): 5.021 5.021 2.964
angles (deg): 99.30 99.30 114.30
Element x y z (fractional)
Re 0.000 0.000 0.000
Mo 0.000 0.500 0.500
Mo 0.500 0.000 0.500
Br 0.500 0.500 0.000


Name the most stable of them. <w>.


<w>
Material: ReMo2Br
Method: DFT, PBE-GGA
State: optimized geometry

Its space group is I-42d, No. 122. The calculation puts the density of states at the Fermi level at 4.38 states/eV/f.u. The total magnetic moment comes out at 0.0 μB/f.u.

a b c (Å): 6.773 6.773 6.773
angles (deg): 128.45 128.45 75.89
Element x y z (fractional)
Re 0.000 0.000 0.000
Re 0.750 0.250 0.500
Mo 0.114 0.625 0.989
Mo 0.375 0.364 0.489
Mo 0.636 0.125 0.011
Mo 0.875 0.886 0.511
Br 0.250 0.750 0.500
Br 0.500 0.500 0.000


<x>
Material: ReMo2Br
Method: DFT, PBE-GGA
State: optimized geometry

Its space group is P4/mmm, No. 123. The calculation puts the density of states at the Fermi level at 1.75 states/eV/f.u. The total magnetic moment comes out at 0.0 μB/f.u.

a b c (Å): 3.016 3.016 7.100
angles (deg): 90.00 90.00 90.00
Element x y z (fractional)
Re 0.000 0.000 0.000
Mo 0.500 0.500 0.237
Mo 0.500 0.500 0.763
Br 0.000 0.000 0.500


<y>
Material: ReMo2Br
Method: DFT, PBE-GGA
State: optimized geometry

Its space group is Pm, No. 6. The calculation puts the density of states at the Fermi level at 2.60 states/eV/f.u. The total magnetic moment comes out at 0.0 μB/f.u.

a b c (Å): 3.042 3.962 6.670
angles (deg): 90.00 102.31 90.00
Element x y z (fractional)
Re 0.000 0.000 0.000
Mo 0.386 0.500 0.832
Mo 0.840 0.000 0.646
Br 0.180 0.500 0.416


<z>
Material: ReMo2Br
Method: DFT, PBE-GGA
State: optimized geometry

Its space group is R3m, No. 160. The calculation puts the density of states at the Fermi level at 4.33 states/eV/f.u. The total magnetic moment comes out at 0.0 μB/f.u.

a b c (Å): 9.099 9.099 9.099
angles (deg): 18.68 18.68 18.68
Element x y z (fractional)
Re 0.000 0.000 0.000
Mo 0.493 0.493 0.493
Mo 0.742 0.742 0.742
Br 0.237 0.237 0.237


Name the most stable of them. <x>.


<w>
Material: ReMoBr
Method: DFT, PBE-GGA
State: optimized geometry

Its space group is Imm2, No. 44. The calculation puts the density of states at the Fermi level at 2.91 states/eV/f.u. The total magnetic moment comes out at 0.0 μB/f.u.

a b c (Å): 4.735 4.735 4.735
angles (deg): 143.37 127.92 65.35
Element x y z (fractional)
Re 0.000 0.000 0.000
Mo 0.340 0.340 0.000
Br 0.673 0.673 0.000


<x>
Material: ReMoBr
Method: DFT, PBE-GGA
State: optimized geometry

Its space group is P3m1, No. 156. The calculation puts the density of states at the Fermi level at 1.05 states/eV/f.u. The total magnetic moment comes out at 0.0 μB/f.u.

a b c (Å): 4.328 4.328 2.994
angles (deg): 90.00 90.00 120.00
Element x y z (fractional)
Re 0.000 0.000 0.000
Mo 0.667 0.333 0.485
Br 0.333 0.667 0.219


<y>
Material: ReMoBr
Method: DFT, PBE-GGA
State: optimized geometry

Its space group is Fmm2, No. 42. The calculation puts the density of states at the Fermi level at 1.58 states/eV/f.u. The total magnetic moment comes out at 0.0 μB/f.u.

a b c (Å): 7.308 7.002 3.049
angles (deg): 83.39 72.12 24.49
Element x y z (fractional)
Re 0.000 0.000 0.000
Mo 0.365 0.365 0.635
Br 0.693 0.693 0.307


<z>
Material: ReMoBr
Method: DFT, PBE-GGA
State: optimized geometry

Its space group is P3m1, No. 156. The calculation puts the density of states at the Fermi level at 1.15 states/eV/f.u. The total magnetic moment comes out at 0.0 μB/f.u.

a b c (Å): 3.364 3.364 6.140
angles (deg): 90.00 90.00 120.00
Element x y z (fractional)
Re 0.000 0.000 0.000
Mo 0.333 0.667 0.762
Br 0.667 0.333 0.393


Name the most stable of them. <z>.


<w>
Material: Mo2RhBr
Method: DFT, PBE-GGA
State: optimized geometry

Its space group is P2/m, No. 10. The calculation puts the density of states at the Fermi level at 4.81 states/eV/f.u. The total magnetic moment comes out at 0.0 μB/f.u.

a b c (Å): 3.751 2.966 7.180
angles (deg): 90.00 90.06 90.00
Element x y z (fractional)
Mo 0.000 0.000 0.171
Mo 0.000 0.000 0.829
Rh 0.500 0.500 0.000
Br 0.000 0.500 0.500


<x>
Material: Mo2RhBr
Method: DFT, PBE-GGA
State: optimized geometry

Its space group is C2/m, No. 12. The calculation puts the density of states at the Fermi level at 1.62 states/eV/f.u. The total magnetic moment comes out at 0.0 μB/f.u.

a b c (Å): 4.867 4.867 7.414
angles (deg): 120.55 120.55 37.06
Element x y z (fractional)
Mo 0.230 0.230 0.362
Mo 0.770 0.770 0.638
Rh 0.000 0.000 0.500
Br 0.500 0.500 0.000


<y>
Material: Mo2RhBr
Method: DFT, PBE-GGA
State: optimized geometry

Its space group is Cm, No. 8. The calculation puts the density of states at the Fermi level at 2.63 states/eV/f.u. The total magnetic moment comes out at 0.0 μB/f.u.

a b c (Å): 5.123 5.123 4.659
angles (deg): 99.35 99.35 34.43
Element x y z (fractional)
Mo 0.000 0.000 0.000
Mo 0.689 0.689 0.261
Rh 0.258 0.258 0.830
Br 0.464 0.464 0.522


Name the most stable of them. <w>.


<w>
Material: MoRh2Br2
Method: DFT, PBE-GGA
State: optimized geometry

Its space group is I4/mmm, No. 139. The calculation puts the density of states at the Fermi level at 7.41 states/eV/f.u. The total magnetic moment comes out at 1.1 μB/f.u.

a b c (Å): 10.081 10.081 10.081
angles (deg): 160.75 160.75 27.35
Element x y z (fractional)
Mo 0.000 0.000 0.000
Rh 0.250 0.750 0.500
Rh 0.750 0.250 0.500
Br 0.420 0.420 0.000
Br 0.580 0.580 0.000


<x>
Material: MoRh2Br2
Method: DFT, PBE-GGA
State: optimized geometry

Its space group is P4/mbm, No. 127. The calculation puts the density of states at the Fermi level at 3.71 states/eV/f.u. The total magnetic moment comes out at 0.0 μB/f.u.

a b c (Å): 7.252 7.252 3.219
angles (deg): 90.00 90.00 90.00
Element x y z (fractional)
Mo 0.000 0.000 0.000
Mo 0.500 0.500 0.000
Rh 0.151 0.349 0.500
Rh 0.349 0.849 0.500
Rh 0.651 0.151 0.500
Rh 0.849 0.651 0.500
Br 0.161 0.661 0.000
Br 0.339 0.161 0.000
Br 0.661 0.839 0.000
Br 0.839 0.339 0.000


Name the most stable of them. <x>.


<w>
Material: Mo3RhBr
Method: DFT, PBE-GGA
State: optimized geometry

Its space group is Pm-3m, No. 221. The calculation puts the density of states at the Fermi level at 5.38 states/eV/f.u. The total magnetic moment comes out at 0.0 μB/f.u.

a b c (Å): 4.783 4.783 4.783
angles (deg): 90.00 90.00 90.00
Element x y z (fractional)
Mo 0.000 0.000 0.500
Mo 0.000 0.500 0.000
Mo 0.500 0.000 0.000
Rh 0.000 0.000 0.000
Br 0.500 0.500 0.500


<x>
Material: Mo3RhBr
Method: DFT, PBE-GGA
State: optimized geometry

Its space group is Pm-3m, No. 221. The calculation puts the density of states at the Fermi level at 8.98 states/eV/f.u. The total magnetic moment comes out at 0.0 μB/f.u.

a b c (Å): 4.551 4.551 4.551
angles (deg): 90.00 90.00 90.00
Element x y z (fractional)
Mo 0.000 0.000 0.500
Mo 0.000 0.500 0.000
Mo 0.500 0.000 0.000
Rh 0.500 0.500 0.500
Br 0.000 0.000 0.000


Name the most stable of them. <x>.